Record 1
Here is MgTl2Au after structural relaxation from the Alexandria database. Energies are from PBE.

Formation energy from the elements (eV/atom): -0.01
Energy above the most stable polymorph in this dataset (meV/atom): 158
Size of the total moment (μB per cell): 0.00
E (eV/atom): -2.410

a = 3.7001 Å, b = 3.7001 Å, c = 7.0641 Å
α = 90.00°, β = 90.00°, γ = 90.00°
With the nearest neighbours (Å) after each atom.
Atoms (fractional coordinates):
1 Tl 0.0000 0.0000 0.4894  4 Au 3.12, 4 Mg 3.20, 1 Tl 3.38
2 Tl 0.0000 0.0000 0.0106  4 Au 3.12, 4 Mg 3.20, 1 Tl 3.38
3 Au 0.5000 0.5000 0.2500  8 Tl 3.12
4 Mg 0.5000 0.5000 0.7500  8 Tl 3.20, 2 Au 3.53

---

Record 2
Here is TbInGaSn after structural relaxation from the Alexandria database. Energies are from PBE.

Formation energy from the elements (eV/atom): -0.46
Size of the total moment (μB per cell): 0.00
E (eV/atom): -4.063

a = 4.3883 Å, b = 4.5325 Å, c = 4.7725 Å
α = 90.00°, β = 90.00°, γ = 90.00°
With the nearest neighbours (Å) after each atom.
Atoms (fractional coordinates):
1 In 0.5000 0.0000 0.5000  4 Sn 3.15, 4 Ga 3.24, 4 Tb 3.29
2 Tb 0.5000 0.5000 0.0000  4 Ga 3.15, 4 Sn 3.24, 4 In 3.29
3 Ga 0.0000 0.0000 0.0000  4 Tb 3.15, 4 In 3.24, 4 Sn 3.29
4 Sn 0.0000 0.5000 0.5000  4 In 3.15, 4 Tb 3.24, 4 Ga 3.29

---

Record 3
Here is Nd3MgGa2 after structural relaxation from the Alexandria database. Energies are from PBE.

Formation energy from the elements (eV/atom): -0.40
Energy above the most stable polymorph in this dataset (meV/atom): 15
Size of the total moment (μB per cell): 0.00
E (eV/atom): -4.056

a = 3.6838 Å, b = 3.6838 Å, c = 11.7631 Å
α = 90.00°, β = 90.00°, γ = 90.00°
With the nearest neighbours (Å) after each atom.
Atoms (fractional coordinates):
1 Nd 0.0000 0.0000 0.3169  4 Ga 3.16, 4 Mg 3.38
2 Nd 0.0000 0.0000 0.0000  8 Ga 3.24
3 Nd 0.0000 0.0000 0.6831  4 Ga 3.16, 4 Mg 3.38
4 Ga 0.5000 0.5000 0.1644  8 Nd 3.16-3.24
5 Ga 0.5000 0.5000 0.8356  8 Nd 3.16-3.24
6 Mg 0.5000 0.5000 0.5000  8 Nd 3.38, 4 Mg 3.68

---

Record 4
Here is Sr3Hg2Pb2Au4 after structural relaxation from the Alexandria database. Energies are from PBE.

Formation energy from the elements (eV/atom): -0.50
Size of the total moment (μB per cell): 0.00
E (eV/atom): -2.881

a = 4.9568 Å, b = 4.9568 Å, c = 14.7029 Å
α = 90.00°, β = 90.00°, γ = 120.00°
With the nearest neighbours (Å) after each atom.
Atoms (fractional coordinates):
1 Sr 0.0000 0.0000 0.2656  6 Au 3.30-3.48, 3 Hg 3.43, 3 Pb 3.65
2 Sr 0.0000 0.0000 0.0000  6 Au 3.44, 6 Hg 3.50
3 Sr 0.0000 0.0000 0.7344  6 Au 3.30-3.48, 3 Hg 3.43, 3 Pb 3.65
4 Au 0.3333 0.6667 0.3779  4 Pb 2.93-2.98
5 Au 0.6667 0.3333 0.6221  4 Pb 2.93-2.98
6 Au 0.3333 0.6667 0.8696  3 Hg 2.86
7 Au 0.6667 0.3333 0.1304  3 Hg 2.86
8 Hg 0.6667 0.3333 0.8627  3 Au 2.86
9 Hg 0.3333 0.6667 0.1373  3 Au 2.86
10 Pb 0.3333 0.6667 0.5805  4 Au 2.93-2.98
11 Pb 0.6667 0.3333 0.4195  4 Au 2.93-2.98